# La2SmHo5Er | Alexandria | PBE | relaxed
data_La2SmHo5Er
_symmetry_space_group_name_H-M 'C m c 21'
_symmetry_Int_Tables_number 36
_cell_length_a 5.652
_cell_length_b 19.730
_cell_length_c 10.756
_cell_angle_alpha 90.00
_cell_angle_beta 90.00
_cell_angle_gamma 90.00
loop_
_symmetry_equiv_pos_as_xyz
'x,y,z'
'-x,-y,z+1/2'
'-x,y,z'
'x,-y,z+1/2'
'x+1/2,y+1/2,z'
'-x+1/2,-y+1/2,z+1/2'
'-x+1/2,y+1/2,z'
'x+1/2,-y+1/2,z+1/2'
loop_
_atom_site_label
_atom_site_type_symbol
_atom_site_fract_x
_atom_site_fract_y
_atom_site_fract_z
La1 La 0.000 0.113 0.000
La2 La 0.000 0.115 0.585
Sm1 Sm 0.000 0.416 0.728
Ho1 Ho 0.000 0.016 0.292
Ho2 Ho 0.000 0.282 0.578
Ho3 Ho 0.000 0.299 0.975
Ho4 Ho 0.000 0.387 0.288
Ho5 Ho 0.000 0.481 0.006
Er1 Er 0.000 0.201 0.279
# E (eV per atom): -4.529
# Spin magnetization (μB per atom): 0.0000
# ΔE_f (meV per atom): 141
# Calculated density (g/cm3): 7.9